Record 1
Er2ScTe GGA-PBE optimized geometry; calculated total energy = -5.20 eV/atom; formation energy from raw total energies = -549 meV per atom; energy above the most stable polymorph in this dataset = 2 kJ/mol of formula units; magnetic moment = 0.0 μB/f.u.
1.0
3.911 0.000 0.000
0.000 3.911 0.000
0.000 0.000 7.001
Sc Te Er
1 1 2
direct
0.500 0.500 0.000
0.500 0.500 0.500
0.000 0.000 0.746
0.000 0.000 0.254

Record 2
ErSc6Te8 GGA-PBE optimized geometry; calculated total energy = -5.71 eV/atom; formation energy from raw total energies = -1198 meV per atom; magnetic moment = 0.0 μB/f.u.
1.0
-5.157 -6.425 -1.161
-1.685 -5.172 6.295
-7.544 0.035 3.507
Er Sc Te
1 6 8
direct
0.000 0.000 0.000
0.000 0.500 0.500
0.500 0.000 0.000
0.500 0.500 0.000
0.000 0.000 0.500
0.000 0.500 0.000
0.500 0.000 0.500
0.750 0.750 0.750
0.250 0.250 0.250
0.740 0.260 0.260
0.260 0.740 0.740
0.260 0.260 0.740
0.740 0.740 0.260
0.740 0.260 0.740
0.260 0.740 0.260